Below is a relaxed structure of BeCd2As, with properties calculated at the PBE level.

```
data_BeCd2As
_chemical_formula_sum 'Be1 Cd2 As1'
_space_group_name_H-M_alt 'P 4 m m'
_space_group_IT_number 99
_cell_length_a 3.390
_cell_length_b 3.390
_cell_length_c 6.984
_cell_angle_alpha 90.00
_cell_angle_beta 90.00
_cell_angle_gamma 90.00
loop_
_space_group_symop_operation_xyz
'x,y,z'
'-y,x,z'
'-x,-y,z'
'y,-x,z'
'-x,y,z'
'y,x,z'
'x,-y,z'
'-y,-x,z'
loop_
_atom_site_label
_atom_site_type_symbol
_atom_site_fract_x
_atom_site_fract_y
_atom_site_fract_z
_atom_site_occupancy
Be1 Be 0.000 0.000 0.000 1
Cd1 Cd 0.000 0.000 0.629 1
Cd2 Cd 0.500 0.500 0.363 1
As1 As 0.500 0.500 0.972 1
```

Output
* excess energy over the best structure of this formula in the dataset: 0.110 eV/atom
* E: -9.20 eV per cell
* ΔE_f: 0.25 eV/atom
* DOS(E_F): 2.05 states/eV per cell